(1)
Density functional theory data (PBE) for a relaxed structure of HfTcPCl2.

Results
Energy above the most stable polymorph in this dataset: 0.297 eV per atom
Crystal system: tetragonal
Calculated volume: 20.49 Å³ per atom
Total magnetic moment: 0.86 μB per cell
Raw formation energy: 0.502 eV/atom
DOS(E_F): 6.51 states/eV per cell

Cell and atoms, written as CIF:
```
data_HfTcPCl2
_cell_length_a 4.635
_cell_length_b 4.635
_cell_length_c 4.770
_cell_angle_alpha 90.00
_cell_angle_beta 90.00
_cell_angle_gamma 90.00
_space_group_name_H-M_alt 'P 4/m m m'
_space_group_IT_number 123
_space_group_name_Hall '-P 4 2'
loop_
_atom_site_label
_atom_site_fract_x
_atom_site_fract_y
_atom_site_fract_z
Hf1 0.000 0.000 0.000
Tc1 0.500 0.500 0.500
P1 0.500 0.500 0.000
Cl1 0.000 0.500 0.500
```

***

(2)
Density functional theory data (PBE) for a relaxed structure of K2MnW.

Results
Energy above the most stable polymorph in this dataset: 0.629 eV per atom
Crystal system: tetragonal
Calculated volume: 24.50 Å³ per atom
Total magnetic moment: 4.00 μB per cell
Calculated formation energy: 1.516 eV per atom
DOS(E_F): 5.33 states/eV per cell

Cell and atoms, written as CIF:
```
data_K2MnW
_cell_length_a 2.837
_cell_length_b 2.837
_cell_length_c 12.178
_cell_angle_alpha 90.00
_cell_angle_beta 90.00
_cell_angle_gamma 90.00
_space_group_name_H-M_alt 'P 4/m m m'
_space_group_IT_number 123
_space_group_name_Hall '-P 4 2'
loop_
_atom_site_label
_atom_site_fract_x
_atom_site_fract_y
_atom_site_fract_z
K1 0.000 0.000 0.241
Mn1 0.500 0.500 0.500
W1 0.500 0.500 0.000
```

***

(3)
Density functional theory data (PBE) for a relaxed structure of NdCuSb2Rh4.

Results
Crystal system: trigonal
Calculated volume: 18.20 Å³ per atom
Total magnetic moment: 0.00 μB per cell
Raw formation energy: -0.501 eV/atom
DOS(E_F): 14.75 states/eV per cell

Cell and atoms, written as CIF:
```
data_NdCuSb2Rh4
_cell_length_a 4.4028
_cell_length_b 4.4028
_cell_length_c 26.0224
_cell_angle_alpha 90.00
_cell_angle_beta 90.00
_cell_angle_gamma 120.00
_space_group_name_H-M_alt 'R -3 m'
_space_group_IT_number 166
_space_group_name_Hall '-R 3 2"'
loop_
_atom_site_label
_atom_site_fract_x
_atom_site_fract_y
_atom_site_fract_z
Nd1 0.0000 0.0000 0.0000
Cu1 0.0000 0.0000 0.5000
Sb1 0.0000 0.0000 0.2385
Rh1 0.0000 0.0000 0.1335
Rh2 0.0000 0.0000 0.4032
```

***

(4)
Density functional theory data (PBE) for a relaxed structure of Hg4Te3S.

Results
Crystal system: trigonal
Calculated volume: 34.20 Å³ per atom
Total magnetic moment: 0.00 μB per cell
Raw formation energy: -0.132 eV/atom
DOS(E_F): 1.88 states/eV per cell

Cell and atoms, written as CIF:
```
data_Hg4Te3S
_cell_length_a 4.5918
_cell_length_b 4.5918
_cell_length_c 44.9483
_cell_angle_alpha 90.00
_cell_angle_beta 90.00
_cell_angle_gamma 120.00
_space_group_name_H-M_alt 'R 3 m'
_space_group_IT_number 160
_space_group_name_Hall 'R 3 -2"'
loop_
_atom_site_label
_atom_site_fract_x
_atom_site_fract_y
_atom_site_fract_z
Hg1 0.0000 0.0000 0.0000
Hg2 0.0000 0.0000 0.2463
Hg3 0.0000 0.0000 0.4926
Hg4 0.0000 0.0000 0.7393
Te1 0.0000 0.0000 0.1828
Te2 0.0000 0.0000 0.4293
Te3 0.0000 0.0000 0.9360
S1 0.0000 0.0000 0.6817
```

***

Question: The highest DOS(E_F) belongs to which entry?
Answer: NdCuSb2Rh4

***

Question: What is the total magnetic moment in the third record?
Answer: 0.00 μB per cell